The following is a SCAN calculation of a PBEsol-optimized structure of KZnCd, from Alexandria via LeMat-Bulk.

Structure (extended XYZ):
```
3
Lattice="5.126 0.000 0.000 2.563 4.439 0.000 2.563 1.480 4.185" Properties=species:S:1:pos:R:3 pbc="T T T"
Zn 5.126 2.959 2.093
K 0.000 0.000 0.000
Cd 2.563 1.480 1.046
```

Magnetic moment   0.0 μB per cell
DOS at the Fermi energy   1.582 states/eV/cell
Calculated volume   31.7 Å³ per atom
Energy of formation from the pure elements   0.8 eV per formula unit